1.
# Th8TePt3Se4

A relaxed Th8TePt3Se4 crystal (GGA-PBE, the Alexandria database).

Cell: 8.519 8.519 8.625 Å, 119.59 119.59 60.01°
Fractional positions:
Th (0.233, 0.756, 0.745)
Th (0.238, 0.238, 0.716)
Th (0.244, 0.244, 0.255)
Th (0.244, 0.767, 0.255)
Th (0.756, 0.233, 0.745)
Th (0.756, 0.756, 0.745)
Th (0.762, 0.762, 0.284)
Th (0.767, 0.244, 0.255)
Te (0.500, 0.500, 0.500)
Pt (0.000, 0.000, 0.500)
Pt (0.000, 0.500, 0.500)
Pt (0.500, 0.000, 0.500)
Se (0.000, 0.000, 0.000)
Se (0.000, 0.500, 0.000)
Se (0.500, 0.000, 0.000)
Se (0.500, 0.500, 0.000)

## Properties
* SG: C2/m
* E_form (uncorrected): -1.34 eV per atom
* raw total energy: -7.254 eV per atom

=====

2.
# AlSi3As

A relaxed AlSi3As crystal (GGA-PBE, the Alexandria database).

Cell: 4.736 4.736 4.736 Å, 90.00 90.00 90.00°
Fractional positions:
Al (0.000, 0.000, 0.000)
Si (0.000, 0.000, 0.500)
Si (0.000, 0.500, 0.000)
Si (0.500, 0.000, 0.000)
As (0.500, 0.500, 0.500)

## Properties
* SG: Pm-3m
* E_form (uncorrected): 0.94 eV per atom
* E above lowest polymorph: 0.0 meV per atom
* raw total energy: -3.988 eV per atom

=====

3.
# Ca4TlAg3

A relaxed Ca4TlAg3 crystal (GGA-PBE, the Alexandria database).

Cell: 9.156 9.156 9.156 Å, 33.75 33.75 33.75°
Fractional positions:
Ca (0.123, 0.123, 0.123)
Ca (0.373, 0.373, 0.373)
Ca (0.627, 0.627, 0.627)
Ca (0.877, 0.877, 0.877)
Tl (0.500, 0.500, 0.500)
Ag (0.000, 0.000, 0.000)
Ag (0.249, 0.249, 0.249)
Ag (0.751, 0.751, 0.751)

## Properties
* SG: R-3m
* formation energy from the elements: -343 meV/atom
* E above lowest polymorph: 0.0 meV per atom
* raw total energy: -2.709 eV per atom

=====

4.
# Zr5Ti2Sb4

A relaxed Zr5Ti2Sb4 crystal (GGA-PBE, the Alexandria database).

Cell: 10.315 10.315 10.315 Å, 159.74 137.11 47.87°
Fractional positions:
Zr (0.000, 0.000, 0.000)
Zr (0.074, 0.346, 0.727)
Zr (0.381, 0.654, 0.727)
Zr (0.619, 0.346, 0.273)
Zr (0.926, 0.654, 0.273)
Ti (0.424, 0.924, 0.500)
Ti (0.576, 0.076, 0.500)
Sb (0.278, 0.778, 0.500)
Sb (0.292, 0.500, 0.792)
Sb (0.708, 0.500, 0.208)
Sb (0.722, 0.222, 0.500)

## Properties
* SG: Immm
* E_form (uncorrected): -0.34 eV per atom
* raw total energy: -7.157 eV per atom

=====

5.
# ScCoBr2

A relaxed ScCoBr2 crystal (GGA-PBE, the Alexandria database).

Cell: 3.434 6.243 8.159 Å, 90.00 90.00 90.00°
Fractional positions:
Sc (0.000, 0.000, 0.000)
Sc (0.500, 0.500, 0.000)
Co (0.000, 0.000, 0.500)
Co (0.500, 0.500, 0.500)
Br (0.000, 0.500, 0.274)
Br (0.000, 0.500, 0.726)
Br (0.500, 0.000, 0.274)
Br (0.500, 0.000, 0.726)

## Properties
* SG: Cmmm
* E_form (uncorrected): -0.06 eV per atom
* E above lowest polymorph: 598.6 meV per atom
* raw total energy: -4.259 eV per atom

=====

6.
# RbBeSi

A relaxed RbBeSi crystal (GGA-PBE, the Alexandria database).

Cell: 5.099 6.200 6.625 Å, 115.86 90.52 113.87°
Fractional positions:
Rb (0.000, 0.000, 0.000)
Rb (0.216, 0.420, 0.727)
Be (0.124, 0.713, 0.366)
Be (0.502, 0.028, 0.367)
Si (0.612, 0.738, 0.368)
Si (0.713, 0.409, 0.361)

## Properties
* SG: P1
* E_form (uncorrected): 0.33 eV per atom
* E above lowest polymorph: 232.4 meV per atom
* raw total energy: -3.040 eV per atom

=====

7.
# NdFeRh

A relaxed NdFeRh crystal (GGA-PBE, the Alexandria database).

Cell: 3.443 3.443 9.807 Å, 90.00 90.00 90.00°
Fractional positions:
Nd (0.000, 0.000, 0.182)
Nd (0.000, 0.000, 0.818)
Fe (0.500, 0.500, 0.389)
Fe (0.500, 0.500, 0.611)
Rh (0.000, 0.000, 0.500)
Rh (0.500, 0.500, 0.000)

## Properties
* SG: P4/mmm
* formation energy from the elements: -62 meV/atom
* raw total energy: -6.922 eV per atom

=====

8.
# Ba3Pu2S7

A relaxed Ba3Pu2S7 crystal (GGA-PBE, the Alexandria database).

Cell: 13.578 13.578 13.578 Å, 157.94 157.94 31.40°
Fractional positions:
Ba (0.000, 0.000, 0.000)
Ba (0.182, 0.182, 0.000)
Ba (0.818, 0.818, 0.000)
Pu (0.400, 0.400, 0.000)
Pu (0.600, 0.600, 0.000)
S (0.097, 0.597, 0.500)
S (0.299, 0.299, 0.000)
S (0.403, 0.903, 0.500)
S (0.500, 0.500, 0.000)
S (0.597, 0.097, 0.500)
S (0.701, 0.701, 0.000)
S (0.903, 0.403, 0.500)

## Properties
* SG: I4/mmm
* E_form (uncorrected): -1.75 eV per atom
* raw total energy: -7.027 eV per atom

=====

Question: Which value of raw total energy does entry 4 give?
Answer: -7.157 eV per atom

=====

Question: Among the records above, which one has the highest raw total energy?
Answer: Ca4TlAg3

=====

Question: Which formula does entry 6 have?
Answer: RbBeSi